# NaSc2I

A geometry-optimized NaSc2I structure (PBE-GGA, the Alexandria database).

Lattice parameters (Å, degrees): 5.2167 5.2167 5.2167 60.00 60.00 60.00
Fractional positions:
Na  0.0000  0.0000  0.0000
Sc  0.2500  0.2500  0.2500
Sc  0.7500  0.7500  0.7500
I  0.5000  0.5000  0.5000

Computed properties:
For the volume, the calculation gives 25.10 Å³ per atom. The density of states at the Fermi level is 5.192 states/eV per cell. Its total moment is 0.00 μB per cell. For the total DFT energy (no corrections), the calculation gives -3.64 eV/atom. The calculation puts the raw formation energy at 240 meV/atom.